A plane-wave DFT calculation with PBE was carried out for a relaxed Be2ReHg crystal.

POSCAR file:
```
Be2ReHg
1.0
-8.572 -0.356 0.934
-8.372 -1.224 -1.701
-8.069 -3.036 0.387
Re Hg Be
1 1 2
Direct
0.737 0.737 0.737
0.507 0.507 0.507
0.995 0.995 0.995
0.261 0.261 0.261
```

DOS(E_F)	0.63	states/eV per atom
formation enthalpy at 0 K	0.633	eV/atom
energy	-4.417	eV/atom
crystal system	trigonal



A plane-wave DFT calculation with PBE was carried out for a relaxed TbAgHgF6 crystal.

POSCAR file:
```
TbAgHgF6
1.0
-3.205 -2.343 -3.631
1.905 -4.824 1.432
-7.984 -0.890 7.623
Tb Ag Hg F
2 2 2 12
Direct
0.500 0.500 0.833
0.000 0.000 0.333
0.500 0.500 0.499
0.000 0.000 0.999
0.500 0.500 0.166
0.000 0.000 0.666
0.182 0.818 0.491
0.818 0.182 0.491
0.318 0.318 0.991
0.682 0.682 0.991
0.199 0.801 0.187
0.801 0.199 0.187
0.301 0.301 0.687
0.699 0.699 0.687
0.789 0.211 0.823
0.211 0.789 0.823
0.711 0.711 0.323
0.289 0.289 0.323
```

formation energy without anion corrections	-2493	meV/atom
energy	-4.605	eV/atom
crystal system	tetragonal



no.,theoretical density (g/cm3),total moment (Bohr magnetons per cell)
1,11.835,0.00
2,6.023,0.12